No. 1
# Ac4Nd4Tm, relaxed, DFT PBE
# - ΔE_f: 43 meV per atom
# - Fermi-level density of states: 27.1 states/eV/cell
# - Total DFT energy (no corrections): -79.18 eV for the cell shown
data_Ac4Nd4Tm
_chemical_formula_sum 'Ac8 Nd8 Tm2'
_cell_length_a 11.388
_cell_length_b 11.388
_cell_length_c 5.377
_cell_angle_alpha 90.00
_cell_angle_beta 90.00
_cell_angle_gamma 90.00
_symmetry_space_group_name_H-M 'I 4/m m m'
_symmetry_Int_Tables_number 139
_symmetry_space_group_name_Hall '-I 4 2'
loop_
_atom_site_label
_atom_site_type_symbol
_atom_site_fract_x
_atom_site_fract_y
_atom_site_fract_z
Ac1 Ac 0.166 0.166 0.000
Nd1 Nd 0.000 0.337 0.500
Tm1 Tm 0.000 0.000 0.500

No. 2
# AcNd7Tm2, relaxed, DFT PBE
# - ΔE_f: 610 meV per atom
# - E above lowest polymorph: 444 meV per atom
# - Fermi-level density of states: 26.8 states/eV/cell
# - Total DFT energy (no corrections): -80.64 eV for the cell shown
data_AcNd7Tm2
_chemical_formula_sum 'Ac2 Nd14 Tm4'
_cell_length_a 9.055
_cell_length_b 15.997
_cell_length_c 5.895
_cell_angle_alpha 90.00
_cell_angle_beta 90.00
_cell_angle_gamma 90.00
_symmetry_space_group_name_H-M 'C m m m'
_symmetry_Int_Tables_number 65
_symmetry_space_group_name_Hall '-C 2 2'
loop_
_atom_site_label
_atom_site_type_symbol
_atom_site_fract_x
_atom_site_fract_y
_atom_site_fract_z
Ac1 Ac 0.000 0.000 0.000
Nd1 Nd 0.000 0.240 0.000
Nd2 Nd 0.000 0.500 0.500
Nd3 Nd 0.181 0.120 0.500
Tm1 Tm 0.000 0.297 0.500

No. 3
# Ac2Nd5Tm, relaxed, DFT PBE
# - ΔE_f: 34 meV per atom
# - E above lowest polymorph: 4 meV per atom
# - Fermi-level density of states: 27.8 states/eV/cell
# - Total DFT energy (no corrections): -72.50 eV for the cell shown
data_Ac2Nd5Tm
_chemical_formula_sum 'Ac4 Nd10 Tm2'
_cell_length_a 5.305
_cell_length_b 5.305
_cell_length_c 20.951
_cell_angle_alpha 90.00
_cell_angle_beta 90.00
_cell_angle_gamma 90.00
_symmetry_space_group_name_H-M 'I 4/m m m'
_symmetry_Int_Tables_number 139
_symmetry_space_group_name_Hall '-I 4 2'
loop_
_atom_site_label
_atom_site_type_symbol
_atom_site_fract_x
_atom_site_fract_y
_atom_site_fract_z
Ac1 Ac 0.000 0.000 0.250
Nd1 Nd 0.000 0.000 0.000
Nd2 Nd 0.000 0.500 0.119
Tm1 Tm 0.000 0.000 0.500

No. 4
# Ac2Nd5Tm6, relaxed, DFT PBE
# - ΔE_f: 113 meV per atom
# - Fermi-level density of states: 37.0 states/eV/cell
# - Total DFT energy (no corrections): -114.85 eV for the cell shown
data_Ac2Nd5Tm6
_chemical_formula_sum 'Ac4 Nd10 Tm12'
_cell_length_a 11.944
_cell_length_b 20.609
_cell_length_c 3.655
_cell_angle_alpha 90.00
_cell_angle_beta 90.00
_cell_angle_gamma 90.00
_symmetry_space_group_name_H-M 'P b a m'
_symmetry_Int_Tables_number 55
_symmetry_space_group_name_Hall '-P 2 2ab'
loop_
_atom_site_label
_atom_site_type_symbol
_atom_site_fract_x
_atom_site_fract_y
_atom_site_fract_z
Ac1 Ac 0.166 0.224 0.000
Nd1 Nd 0.000 0.500 0.500
Nd2 Nd 0.093 0.786 0.500
Nd3 Nd 0.202 0.054 0.500
Tm1 Tm 0.062 0.927 0.000
Tm2 Tm 0.068 0.640 0.000
Tm3 Tm 0.185 0.381 0.500

No. 5
# Ac6Nd5Tm, relaxed, DFT PBE
# - ΔE_f: 31 meV per atom
# - Fermi-level density of states: 36.1 states/eV/cell
# - Total DFT energy (no corrections): -105.17 eV for the cell shown
data_Ac6Nd5Tm
_chemical_formula_sum 'Ac12 Nd10 Tm2'
_cell_length_a 5.484
_cell_length_b 10.496
_cell_length_c 16.385
_cell_angle_alpha 90.00
_cell_angle_beta 90.00
_cell_angle_gamma 90.00
_symmetry_space_group_name_H-M 'I m m m'
_symmetry_Int_Tables_number 71
_symmetry_space_group_name_Hall '-I 2 2'
loop_
_atom_site_label
_atom_site_type_symbol
_atom_site_fract_x
_atom_site_fract_y
_atom_site_fract_z
Ac1 Ac 0.000 0.247 0.000
Ac2 Ac 0.000 0.252 0.334
Nd1 Nd 0.000 0.000 0.166
Nd2 Nd 0.000 0.000 0.500
Nd3 Nd 0.000 0.500 0.166
Tm1 Tm 0.000 0.500 0.500

No. 6
# Ac2Nd6Tm, relaxed, DFT PBE
# - ΔE_f: 88 meV per atom
# - E above lowest polymorph: 8 meV per atom
# - Fermi-level density of states: 54.8 states/eV/cell
# - Total DFT energy (no corrections): -162.00 eV for the cell shown
data_Ac2Nd6Tm
_chemical_formula_sum 'Ac8 Nd24 Tm4'
_cell_length_a 15.676
_cell_length_b 10.223
_cell_length_c 9.320
_cell_angle_alpha 90.00
_cell_angle_beta 118.00
_cell_angle_gamma 90.00
_symmetry_space_group_name_H-M 'C 1 2/c 1'
_symmetry_Int_Tables_number 15
_symmetry_space_group_name_Hall '-C 2yc'
loop_
_atom_site_label
_atom_site_type_symbol
_atom_site_fract_x
_atom_site_fract_y
_atom_site_fract_z
Ac1 Ac 0.094 0.077 0.180
Nd1 Nd 0.082 0.419 0.163
Nd2 Nd 0.164 0.256 0.580
Nd3 Nd 0.238 0.409 0.983
Tm1 Tm 0.000 0.258 0.750

No. 7
# Ac8Nd2Tm, relaxed, DFT PBE
# - ΔE_f: 40 meV per atom
# - Fermi-level density of states: 38.5 states/eV/cell
# - Total DFT energy (no corrections): -92.88 eV for the cell shown
data_Ac8Nd2Tm
_chemical_formula_sum 'Ac16 Nd4 Tm2'
_cell_length_a 19.732
_cell_length_b 5.549
_cell_length_c 8.696
_cell_angle_alpha 90.00
_cell_angle_beta 105.36
_cell_angle_gamma 90.00
_symmetry_space_group_name_H-M 'C 1 2/m 1'
_symmetry_Int_Tables_number 12
_symmetry_space_group_name_Hall '-C 2y'
loop_
_atom_site_label
_atom_site_type_symbol
_atom_site_fract_x
_atom_site_fract_y
_atom_site_fract_z
Ac1 Ac 0.047 0.000 0.230
Ac2 Ac 0.093 0.500 0.950
Ac3 Ac 0.137 0.000 0.686
Ac4 Ac 0.181 0.500 0.414
Nd1 Nd 0.226 0.000 0.133
Tm1 Tm 0.000 0.500 0.500

No. 8
# Ac3Nd4Tm2, relaxed, DFT PBE
# - ΔE_f: 104 meV per atom
# - Fermi-level density of states: 31.8 states/eV/cell
# - Total DFT energy (no corrections): -78.81 eV for the cell shown
data_Ac3Nd4Tm2
_chemical_formula_sum 'Ac6 Nd8 Tm4'
_cell_length_a 17.500
_cell_length_b 6.031
_cell_length_c 6.699
_cell_angle_alpha 90.00
_cell_angle_beta 107.65
_cell_angle_gamma 90.00
_symmetry_space_group_name_H-M 'C 1 2/m 1'
_symmetry_Int_Tables_number 12
_symmetry_space_group_name_Hall '-C 2y'
loop_
_atom_site_label
_atom_site_type_symbol
_atom_site_fract_x
_atom_site_fract_y
_atom_site_fract_z
Ac1 Ac 0.000 0.000 0.000
Ac2 Ac 0.120 0.000 0.576
Nd1 Nd 0.038 0.500 0.771
Nd2 Nd 0.246 0.000 0.151
Tm1 Tm 0.164 0.500 0.282

No. 9
# Ac2Nd6Tm, relaxed, DFT PBE
# - ΔE_f: 80 meV per atom
# - E above lowest polymorph: 0 meV per atom
# - Fermi-level density of states: 14.8 states/eV/cell
# - Total DFT energy (no corrections): -40.58 eV for the cell shown
data_Ac2Nd6Tm
_chemical_formula_sum 'Ac2 Nd6 Tm1'
_cell_length_a 3.7406
_cell_length_b 3.7406
_cell_length_c 27.5225
_cell_angle_alpha 90.00
_cell_angle_beta 90.00
_cell_angle_gamma 120.00
_symmetry_space_group_name_H-M 'P -6 m 2'
_symmetry_Int_Tables_number 187
_symmetry_space_group_name_Hall 'P -6 2'
loop_
_atom_site_label
_atom_site_type_symbol
_atom_site_fract_x
_atom_site_fract_y
_atom_site_fract_z
Ac1 Ac 0.0000 0.0000 0.1732
Nd1 Nd 0.0000 0.0000 0.3971
Nd2 Nd 0.6667 0.3333 0.0620
Nd3 Nd 0.6667 0.3333 0.2899
Tm1 Tm 0.6667 0.3333 0.5000

No. 10
# Ac6Nd3Tm, relaxed, DFT PBE
# - ΔE_f: 106 meV per atom
# - Fermi-level density of states: 98.2 states/eV/cell
# - Total DFT energy (no corrections): -254.16 eV for the cell shown
data_Ac6Nd3Tm
_chemical_formula_sum 'Ac36 Nd18 Tm6'
_cell_length_a 16.8702
_cell_length_b 16.8702
_cell_length_c 9.8789
_cell_angle_alpha 90.00
_cell_angle_beta 90.00
_cell_angle_gamma 120.00
_symmetry_space_group_name_H-M 'R -3'
_symmetry_Int_Tables_number 148
_symmetry_space_group_name_Hall '-R 3'
loop_
_atom_site_label
_atom_site_type_symbol
_atom_site_fract_x
_atom_site_fract_y
_atom_site_fract_z
Ac1 Ac 0.0302 0.7663 0.3501
Ac2 Ac 0.0717 0.5055 0.6608
Nd1 Nd 0.0154 0.8652 0.7061
Tm1 Tm 0.0000 0.0000 0.0000
Tm2 Tm 0.0000 0.0000 0.5000

No. 11
# AcNd9Tm2, relaxed, DFT PBE
# - ΔE_f: 25 meV per atom
# - Fermi-level density of states: 21.0 states/eV/cell
# - Total DFT energy (no corrections): -55.66 eV for the cell shown
data_AcNd9Tm2
_chemical_formula_sum 'Ac1 Nd9 Tm2'
_cell_length_a 5.192
_cell_length_b 5.192
_cell_length_c 15.607
_cell_angle_alpha 90.00
_cell_angle_beta 90.00
_cell_angle_gamma 90.00
_symmetry_space_group_name_H-M 'P 4/m m m'
_symmetry_Int_Tables_number 123
_symmetry_space_group_name_Hall '-P 4 2'
loop_
_atom_site_label
_atom_site_type_symbol
_atom_site_fract_x
_atom_site_fract_y
_atom_site_fract_z
Ac1 Ac 0.000 0.000 0.000
Nd1 Nd 0.000 0.500 0.174
Nd2 Nd 0.000 0.500 0.500
Nd3 Nd 0.500 0.500 0.000
Nd4 Nd 0.500 0.500 0.339
Tm1 Tm 0.000 0.000 0.337

No. 12
# Ac15Nd4Tm, relaxed, DFT PBE
# - ΔE_f: 28 meV per atom
# - Fermi-level density of states: 32.4 states/eV/cell
# - Total DFT energy (no corrections): -84.62 eV for the cell shown
data_Ac15Nd4Tm
_chemical_formula_sum 'Ac15 Nd4 Tm1'
_cell_length_a 5.531
_cell_length_b 5.531
_cell_length_c 27.550
_cell_angle_alpha 90.00
_cell_angle_beta 90.00
_cell_angle_gamma 90.00
_symmetry_space_group_name_H-M 'P 4/m m m'
_symmetry_Int_Tables_number 123
_symmetry_space_group_name_Hall '-P 4 2'
loop_
_atom_site_label
_atom_site_type_symbol
_atom_site_fract_x
_atom_site_fract_y
_atom_site_fract_z
Ac1 Ac 0.000 0.000 0.000
Ac2 Ac 0.000 0.000 0.199
Ac3 Ac 0.000 0.000 0.400
Ac4 Ac 0.000 0.500 0.099
Ac5 Ac 0.000 0.500 0.299
Ac6 Ac 0.000 0.500 0.500
Nd1 Nd 0.500 0.500 0.199
Nd2 Nd 0.500 0.500 0.400
Tm1 Tm 0.500 0.500 0.000